V2AuO6 after structural relaxation, computed with GGA+U.

## Properties
Distance to the lowest polymorph of the same formula   0.0 kJ/mol of formula units
Total energy   -59.8 eV per formula unit

Lattice parameters (Å, degrees): 7.5387 7.5387 6.0072 112.51 112.51 68.27
Last column: nearest neighbours and their distance in Å.
Sites, in units of the cell vectors:
1 V 0.1201 0.3271 0.2301  4 O 1.70-1.82
2 V 0.3271 0.1201 0.7301  4 O 1.70-1.82
3 V 0.6729 0.8799 0.2699  4 O 1.70-1.82
4 V 0.8799 0.6729 0.7699  4 O 1.70-1.82
5 Au 0.3137 0.6863 0.7500  4 O 2.09-2.11
6 Au 0.6863 0.3137 0.2500  4 O 2.09-2.11
7 O 0.1316 0.5668 0.8155  1 V 1.72
8 O 0.1666 0.1929 0.9259  2 V 1.80-1.82
9 O 0.1929 0.1666 0.4259  2 V 1.80-1.82
10 O 0.2295 0.5186 0.3767  1 V 1.70
11 O 0.4332 0.8684 0.6845  1 V 1.72
12 O 0.4814 0.7705 0.1233  1 V 1.70
13 O 0.5186 0.2295 0.8767  1 V 1.70
14 O 0.5668 0.1316 0.3155  1 V 1.72
15 O 0.7705 0.4814 0.6233  1 V 1.70
16 O 0.8071 0.8334 0.5741  2 V 1.80-1.82
17 O 0.8334 0.8071 0.0741  2 V 1.80-1.82
18 O 0.8684 0.4332 0.1845  1 V 1.72